Entry 1:
Density functional theory data (PBE) for crystalline Si3GeTe at its relaxed geometry.

```
Si3GeTe
1.0
4.849 0.000 0.000
0.000 4.849 0.000
0.000 0.000 4.849
Ge Si Te
1 3 1
direct
0.000 0.000 0.000
0.000 0.000 0.500
0.000 0.500 0.000
0.500 0.000 0.000
0.500 0.500 0.500
```

Energy relative to the elements, uncorrected (meV/atom): 922
DFT total energy (eV per atom): -3.88
Volume (Å³ per atom): 22.80
Fermi-level density of states (states/eV/atom): 0.60
Energy above the lowest structure with this stoichiometry (meV/atom): 0

---

Entry 2:
Density functional theory data (PBE) for crystalline LaMnSiBi at its relaxed geometry.

```
LaMnSiBi
1.0
5.046 0.000 0.000
-2.523 4.370 0.000
0.000 0.000 4.502
Si La Bi Mn
1 1 1 1
direct
0.333 0.667 0.500
0.000 0.000 0.500
0.667 0.333 0.000
0.333 0.667 0.000
```

Energy relative to the elements, uncorrected (meV/atom): -156
DFT total energy (eV per atom): -6.01
Volume (Å³ per atom): 24.82
Fermi-level density of states (states/eV/atom): 0.85
Energy above the lowest structure with this stoichiometry (meV/atom): 155

---

Entry 3:
Density functional theory data (PBE) for crystalline BPPd2Rh at its relaxed geometry.

```
BPPd2Rh
1.0
4.178 0.000 0.000
0.000 3.983 0.000
0.000 0.000 4.178
Rh P Pd B
1 1 2 1
direct
0.500 0.500 0.500
0.000 0.500 0.000
0.000 0.000 0.500
0.500 0.000 0.000
0.000 0.000 0.000
```

DFT total energy (eV per atom): -5.60
Formation enthalpy at 0 K (eV/atom): 0.36
Volume (Å³ per atom): 13.91
Fermi-level density of states (states/eV/atom): 0.81
Energy above the lowest structure with this stoichiometry (meV/atom): 0

---

Entry 4:
Density functional theory data (PBE) for crystalline Li3CdS at its relaxed geometry.

```
Li3CdS
1.0
-1.385 -3.622 2.995
4.699 -1.131 0.806
0.096 3.100 3.793
Cd Li S
1 3 1
direct
0.000 0.000 0.000
0.000 0.000 0.500
0.000 0.500 0.000
0.500 0.000 0.000
0.500 0.500 0.500
```

Energy relative to the elements, uncorrected (meV/atom): 136
DFT total energy (eV per atom): -2.02
Volume (Å³ per atom): 23.53
Fermi-level density of states (states/eV/atom): 0.47
Energy above the lowest structure with this stoichiometry (meV/atom): 788